Record 1
First-principles (PBE) data for a relaxed structure of Ti3InCo, as listed in the Alexandria database.

a b c (Å): 3.0020 7.6913 8.8903
angles (deg): 122.19 90.00 90.00
Element x y z (fractional)
Ti 0.2500 0.1244 0.3218
Ti 0.7500 0.8756 0.6782
Ti 0.7500 0.4777 0.6216
Ti 0.2500 0.5223 0.3784
Ti 0.2500 0.2839 0.7971
Ti 0.7500 0.7161 0.2029
In 0.7500 0.2304 0.0588
In 0.2500 0.7696 0.9412
Co 0.2500 0.8619 0.4555
Co 0.7500 0.1381 0.5445

Values from the calculation:
The symmetry is No. 11. The value obtained for the total magnetic moment is 0.0000 μB per atom. The energy of formation from the pure elements is -103 meV/atom.

Record 2
First-principles (PBE) data for a relaxed structure of MnBeCuRu2, as listed in the Alexandria database.

a b c (Å): 4.3485 4.0106 4.3485
angles (deg): 90.00 90.00 90.00
Last column: magnetic moment on the atom in μB.
Element x y z (fractional)
Ru 0.0000 0.0000 0.5000  0.34
Ru 0.5000 0.0000 0.0000  0.39
Mn 0.0000 0.0000 0.0000  -0.04
Cu 0.5000 0.5000 0.5000  0.07
Be 0.0000 0.5000 0.0000  -0.01

Values from the calculation:
The symmetry is No. 123. The value obtained for the total magnetic moment is 0.1544 μB per atom. The energy of formation from the pure elements is 1140 meV/atom.

Record 3
First-principles (PBE) data for a relaxed structure of Sr6IN3, as listed in the Alexandria database.

a b c (Å): 3.9004 10.8978 14.1718
angles (deg): 106.55 90.00 90.00
Element x y z (fractional)
Sr 0.7500 0.1847 0.6037
Sr 0.2500 0.8153 0.3963
Sr 0.7500 0.1167 0.0721
Sr 0.2500 0.8833 0.9279
Sr 0.7500 0.6388 0.5512
Sr 0.2500 0.3612 0.4488
Sr 0.7500 0.5397 0.2908
Sr 0.2500 0.4603 0.7092
Sr 0.7500 0.2646 0.8654
Sr 0.2500 0.7354 0.1346
Sr 0.7500 0.9986 0.2494
Sr 0.2500 0.0014 0.7506
I 0.7500 0.6120 0.9193
I 0.2500 0.3880 0.0807
N 0.7500 0.4143 0.5828
N 0.2500 0.5857 0.4172
N 0.7500 0.7673 0.2608
N 0.2500 0.2327 0.7392
N 0.7500 0.0272 0.8852
N 0.2500 0.9728 0.1148

Values from the calculation:
The formation energy from raw total energies is -0.7169 eV per atom. The symmetry is No. 11. The value obtained for the total magnetic moment is 0.0316 μB per atom.

Record 4
First-principles (PBE) data for a relaxed structure of BaLaZr2, as listed in the Alexandria database.

a b c (Å): 6.2071 6.2071 6.2071
angles (deg): 134.00 133.93 67.14
Element x y z (fractional)
Ba 0.7500 0.2500 0.5000
La 0.2500 0.7500 0.5000
Zr 0.0001 0.0001 0.0000
Zr 0.4999 0.4999 0.0000

Values from the calculation:
The symmetry is No. 139. The value obtained for the total magnetic moment is 0.0000 μB per atom. The energy of formation from the pure elements is 542 meV/atom.

Record 5
First-principles (PBE) data for a relaxed structure of RbOsIN2, as listed in the Alexandria database.

a b c (Å): 4.1303 4.1303 5.7782
angles (deg): 90.00 90.00 90.00
Last column: magnetic moment on the atom in μB.
Element x y z (fractional)
I 0.0000 0.0000 0.5000  0.00
Os 0.0000 0.0000 0.0000  -0.07
Rb 0.5000 0.5000 0.5000  0.00
N 0.0000 0.5000 0.0000  0.17
N 0.5000 0.0000 0.0000  0.17

Values from the calculation:
The formation energy from raw total energies is 0.7809 eV per atom. The symmetry is No. 123. The value obtained for the total magnetic moment is 0.0836 μB per atom.

Record 6
First-principles (PBE) data for a relaxed structure of Pr2Ag4Te5, as listed in the Alexandria database.

a b c (Å): 4.5589 4.5589 19.2359
angles (deg): 83.19 83.19 60.00
Element x y z (fractional)
Pr 0.1340 0.1340 0.5981
Pr 0.8660 0.8660 0.4019
Ag 0.6858 0.6858 0.9425
Ag 0.5850 0.5850 0.2451
Ag 0.4150 0.4150 0.7549
Ag 0.3142 0.3142 0.0575
Te 0.7681 0.7681 0.6956
Te 0.6330 0.6330 0.1010
Te 0.5000 0.5000 0.5000
Te 0.3670 0.3670 0.8990
Te 0.2319 0.2319 0.3044

Values from the calculation:
The formation energy from raw total energies is -0.5798 eV per atom. The symmetry is No. 166. The value obtained for the total magnetic moment is 0.0000 μB per atom.

Record 7
First-principles (PBE) data for a relaxed structure of KLi2Y, as listed in the Alexandria database.

a b c (Å): 8.5962 8.5962 7.0504
angles (deg): 52.44 52.44 90.00
Last column: magnetic moment on the atom in μB.
Element x y z (fractional)
Y 0.0000 0.0000 0.0000  0.23
Y 0.7500 0.2500 0.5000  0.23
K 0.5000 0.5000 0.0000  0.01
K 0.2500 0.7500 0.5000  0.01
Li 0.6239 0.1250 0.2500  0.01
Li 0.1261 0.6250 0.2500  0.01
Li 0.3750 0.3761 0.7500  0.01
Li 0.8750 0.8739 0.7500  0.01

Values from the calculation:
The symmetry is No. 122. The value obtained for the total magnetic moment is 0.1546 μB per atom. The energy of formation from the pure elements is 527 meV/atom.

Record 8
First-principles (PBE) data for a relaxed structure of Nd3DyGe2, as listed in the Alexandria database.

a b c (Å): 4.4652 4.5604 8.8426
angles (deg): 104.93 104.57 90.00
Element x y z (fractional)
Nd 0.5000 0.5000 0.0000
Nd 0.8193 0.3190 0.6379
Nd 0.1807 0.6810 0.3621
Dy 0.0000 0.0000 0.0000
Ge 0.3676 0.8669 0.7337
Ge 0.6324 0.1331 0.2663

Values from the calculation:
The symmetry is No. 12. The value obtained for the total magnetic moment is 0.0001 μB per atom. The energy of formation from the pure elements is -610 meV/atom.

Record 9
First-principles (PBE) data for a relaxed structure of SiMo3Rh, as listed in the Alexandria database.

a b c (Å): 4.6763 4.6763 4.6763
angles (deg): 90.00 90.00 90.00
Element x y z (fractional)
Mo 0.0000 0.5000 0.0000
Mo 0.0000 0.0000 0.5000
Mo 0.5000 0.0000 0.0000
Rh 0.0000 0.0000 0.0000
Si 0.5000 0.5000 0.5000

Values from the calculation:
The formation energy from raw total energies is 1.7687 eV per atom. The symmetry is No. 221. The value obtained for the total magnetic moment is 0.0000 μB per atom.

Record 10
First-principles (PBE) data for a relaxed structure of MgNiGe, as listed in the Alexandria database.

a b c (Å): 5.0661 4.1353 6.5837
angles (deg): 71.72 128.95 90.05
Element x y z (fractional)
Ni 0.4242 0.9711 0.5328
Ni 0.3201 0.3763 0.7232
Mg 0.9547 0.2914 0.8917
Mg 0.7896 0.0558 0.3643
Ge 0.2793 0.5789 0.3164
Ge 0.4654 0.7684 0.9397

Values from the calculation:
The symmetry is No. 2. The value obtained for the total magnetic moment is 0.0000 μB per atom. The energy of formation from the pure elements is -285 meV/atom.

Record 11
First-principles (PBE) data for a relaxed structure of NdAlPd, as listed in the Alexandria database.

a b c (Å): 3.9438 4.4603 4.4603
angles (deg): 120.00 90.00 90.00
Element x y z (fractional)
Nd 0.6667 0.3333 0.6667
Al 0.1667 0.6667 0.3333
Pd 0.1666 0.0000 0.0000

Values from the calculation:
The symmetry is No. 187. The value obtained for the total magnetic moment is 0.0000 μB per atom. The energy of formation from the pure elements is -726 meV/atom.

Record 12
First-principles (PBE) data for a relaxed structure of Tm5RhPb2, as listed in the Alexandria database.

a b c (Å): 5.4058 8.5955 12.4121
angles (deg): 90.00 90.00 108.33
Element x y z (fractional)
Tm 0.9175 0.8349 0.8922
Tm 0.9175 0.8349 0.6078
Tm 0.2997 0.5993 0.4364
Tm 0.2997 0.5993 0.0636
Tm 0.7116 0.4232 0.2500
Tm 0.2884 0.5768 0.7500
Tm 0.7003 0.4007 0.5636
Tm 0.7003 0.4007 0.9364
Tm 0.0825 0.1651 0.1078
Tm 0.0825 0.1651 0.3922
Rh 0.7981 0.5961 0.7500
Rh 0.2019 0.4039 0.2500
Pb 0.8884 0.7769 0.3728
Pb 0.8884 0.7769 0.1272
Pb 0.1116 0.2231 0.6272
Pb 0.1116 0.2231 0.8728

Values from the calculation:
The symmetry is No. 63. The value obtained for the total magnetic moment is 0.0000 μB per atom. The energy of formation from the pure elements is -135 meV/atom.

- Number 4 is which compound?
  BaLaZr2